# Rb3InS3

Rb3InS3 after structural relaxation (GGA-PBE, Alexandria).

The structure in POSCAR format:
```
Rb3InS3
1.0
4.527 -6.926 0.000
4.527 6.926 0.000
-1.588 0.000 7.863
Rb In S
6 2 6
direct
0.180 0.820 0.000 Rb
0.245 0.755 0.500 Rb
0.387 0.387 0.147 Rb
0.613 0.613 0.853 Rb
0.755 0.245 0.500 Rb
0.820 0.180 0.000 Rb
0.176 0.176 0.647 In
0.824 0.824 0.353 In
0.101 0.101 0.323 S
0.156 0.448 0.775 S
0.448 0.156 0.775 S
0.552 0.844 0.225 S
0.844 0.552 0.225 S
0.899 0.899 0.677 S
```

formation energy without anion corrections	-1.05	eV/atom
space-group type	No. 12
calculated density	3.148	g/cm³